[1]
DFT (GGA-PBE) results for Pr2SmSn4Au4 after structural relaxation.

Lattice parameters (Å, degrees): 8.959 8.959 8.959 149.54 131.93 57.98
Sites, in units of the cell vectors:
Pr 0.130 0.130 0.000
Pr 0.870 0.870 0.000
Sm 0.500 0.000 0.500
Sn 0.198 0.500 0.698
Sn 0.286 0.786 0.500
Sn 0.714 0.214 0.500
Sn 0.802 0.500 0.302
Au 0.132 0.331 0.800
Au 0.469 0.669 0.800
Au 0.531 0.331 0.200
Au 0.868 0.669 0.200

## Properties
energy: -51.06 eV/f.u.
theoretical density: 10456 kg/m³

***

[2]
DFT (GGA-PBE) results for Rb2TePt2 after structural relaxation.

Lattice parameters (Å, degrees): 6.647 6.647 6.647 139.69 130.36 65.79
Sites, in units of the cell vectors:
Rb 0.210 0.210 0.000
Rb 0.790 0.790 0.000
Te 0.500 0.000 0.500
Pt 0.237 0.500 0.737
Pt 0.763 0.500 0.263

## Properties
energy: -18.85 eV/f.u.
theoretical density: 8016 kg/m³

***

[3]
DFT (GGA-PBE) results for Lu2IrO4 after structural relaxation.

Lattice parameters (Å, degrees): 6.545 6.545 6.545 60.00 60.00 60.00
Sites, in units of the cell vectors:
Lu 0.000 0.000 0.000
Lu 0.000 0.000 0.500
Lu 0.000 0.500 0.000
Lu 0.500 0.000 0.000
Ir 0.375 0.375 0.375
Ir 0.625 0.625 0.625
O 0.212 0.763 0.763
O 0.237 0.237 0.237
O 0.237 0.237 0.788
O 0.237 0.788 0.237
O 0.763 0.212 0.763
O 0.763 0.763 0.212
O 0.763 0.763 0.763
O 0.788 0.237 0.237

## Properties
energy: -53.01 eV/f.u.
theoretical density: 10153 kg/m³

***

[4]
DFT (GGA-PBE) results for Nd5Ga2Pb after structural relaxation.

Lattice parameters (Å, degrees): 9.242 9.242 9.242 127.99 127.99 76.65
Sites, in units of the cell vectors:
Nd 0.000 0.000 0.000
Nd 0.023 0.523 0.834
Nd 0.189 0.023 0.500
Nd 0.311 0.811 0.834
Nd 0.477 0.311 0.500
Nd 0.500 0.500 0.000
Nd 0.523 0.689 0.500
Nd 0.689 0.189 0.166
Nd 0.811 0.977 0.500
Nd 0.977 0.477 0.166
Ga 0.124 0.376 0.500
Ga 0.376 0.876 0.253
Ga 0.624 0.124 0.747
Ga 0.876 0.624 0.500
Pb 0.250 0.250 0.000
Pb 0.750 0.750 0.000

## Properties
energy: -37.48 eV/f.u.
theoretical density: 7445 kg/m³

***

[5]
DFT (GGA-PBE) results for TaPdNO after structural relaxation.

Lattice parameters (Å, degrees): 3.475 6.574 5.490 90.00 90.00 90.00
Sites, in units of the cell vectors:
Ta 0.000 0.189 0.000
Ta 0.000 0.811 0.500
Pd 0.500 0.494 0.602
Pd 0.500 0.506 0.102
N 0.500 0.265 0.855
N 0.500 0.735 0.355
O 0.000 0.062 0.308
O 0.000 0.938 0.808

## Properties
energy: -34.92 eV/f.u.
theoretical density: 8404 kg/m³
ΔE to the lowest computed polymorph: 0 meV/atom

***

[6]
DFT (GGA-PBE) results for InH15PtC10O10 after structural relaxation.

Lattice parameters (Å, degrees): 6.977 8.381 12.640 84.00 85.48 74.08
Sites, in units of the cell vectors:
In 0.190 0.274 0.260
In 0.810 0.726 0.740
H 0.010 0.232 0.700
H 0.011 0.322 0.885
H 0.094 0.102 0.880
H 0.133 0.805 0.044
H 0.137 0.904 0.566
H 0.141 0.737 0.409
H 0.220 0.083 0.525
H 0.239 0.635 0.290
H 0.265 0.509 0.978
H 0.268 0.471 0.843
H 0.273 0.390 0.510
H 0.349 0.888 0.473
H 0.358 0.314 0.641
H 0.413 0.496 0.574
H 0.470 0.353 0.919
H 0.530 0.647 0.081
H 0.587 0.504 0.426
H 0.642 0.686 0.359
H 0.651 0.112 0.527
H 0.727 0.610 0.490
H 0.732 0.529 0.157
H 0.735 0.491 0.022
H 0.761 0.365 0.710
H 0.780 0.917 0.475
H 0.859 0.263 0.591
H 0.863 0.096 0.434
H 0.867 0.195 0.956
H 0.906 0.898 0.120
H 0.989 0.678 0.115
H 0.990 0.768 0.300
Pt 0.481 0.061 0.156
Pt 0.519 0.939 0.844
C 0.020 0.201 0.931
C 0.115 0.535 0.634
C 0.134 0.191 0.028
C 0.144 0.748 0.322
C 0.213 0.896 0.278
C 0.271 0.948 0.543
C 0.301 0.425 0.587
C 0.363 0.476 0.907
C 0.406 0.903 0.634
C 0.472 0.603 0.872
C 0.528 0.397 0.128
C 0.594 0.097 0.366
C 0.637 0.524 0.093
C 0.699 0.575 0.413
C 0.729 0.052 0.457
C 0.787 0.104 0.722
C 0.856 0.252 0.678
C 0.866 0.809 0.972
C 0.885 0.465 0.366
C 0.980 0.799 0.069
O 0.006 0.659 0.581
O 0.051 0.274 0.105
O 0.065 0.505 0.733
O 0.115 0.037 0.307
O 0.315 0.096 0.026
O 0.350 0.990 0.715
O 0.363 0.443 0.182
O 0.368 0.868 0.213
O 0.391 0.753 0.897
O 0.436 0.215 0.374
O 0.564 0.785 0.626
O 0.609 0.247 0.103
O 0.632 0.132 0.787
O 0.637 0.557 0.818
O 0.650 0.010 0.285
O 0.685 0.904 0.974
O 0.885 0.963 0.693
O 0.935 0.495 0.267
O 0.949 0.726 0.895
O 0.994 0.341 0.419

## Properties
energy: -224.63 eV/f.u.
theoretical density: 2847 kg/m³